No. 1
A relaxed Ca3Cr2Si3O12 crystal. Source: Alexandria via LeMat-Bulk, functional GGA-PBEsol.

Results
Uncorrected formation energy (meV/atom): -2791
Calculated density (Mg/m³): 3.9
E (eV/atom): -8.15
Density of states at the Fermi level (states/eV/cell): 0.00

Lattice parameters (Å, degrees): 10.376 10.376 10.376 109.47 109.47 109.47
Element x y z (fractional)
Ca1 0.125 0.250 0.375
Ca2 0.125 0.375 0.750
Ca3 0.250 0.375 0.125
Ca4 0.250 0.875 0.625
Ca5 0.375 0.125 0.250
Ca6 0.375 0.750 0.125
Ca7 0.625 0.250 0.875
Ca8 0.625 0.875 0.750
Ca9 0.750 0.125 0.375
Ca10 0.750 0.625 0.875
Ca11 0.875 0.625 0.250
Ca12 0.875 0.750 0.625
Cr1 0.000 0.000 0.000
Cr2 0.000 0.000 0.500
Cr3 0.000 0.500 0.000
Cr4 0.000 0.500 0.500
Cr5 0.500 0.000 0.000
Cr6 0.500 0.000 0.500
Cr7 0.500 0.500 0.000
Cr8 0.500 0.500 0.500
Si1 0.125 0.750 0.875
Si2 0.125 0.875 0.250
Si3 0.250 0.125 0.875
Si4 0.250 0.625 0.375
Si5 0.375 0.250 0.625
Si6 0.375 0.625 0.750
Si7 0.625 0.375 0.250
Si8 0.625 0.750 0.375
Si9 0.750 0.375 0.625
Si10 0.750 0.875 0.125
Si11 0.875 0.125 0.750
Si12 0.875 0.250 0.125
O1 0.010 0.202 0.115
O2 0.010 0.308 0.894
O3 0.087 0.702 0.692
O4 0.087 0.885 0.394
O5 0.106 0.615 0.413
O6 0.106 0.990 0.692
O7 0.115 0.010 0.202
O8 0.115 0.606 0.913
O9 0.192 0.202 0.587
O10 0.192 0.490 0.606
O11 0.202 0.115 0.010
O12 0.202 0.587 0.192
O13 0.298 0.308 0.913
O14 0.298 0.490 0.385
O15 0.308 0.894 0.010
O16 0.308 0.913 0.298
O17 0.385 0.298 0.490
O18 0.385 0.587 0.894
O19 0.394 0.087 0.885
O20 0.394 0.808 0.510
O21 0.413 0.106 0.615
O22 0.413 0.808 0.798
O23 0.490 0.385 0.298
O24 0.490 0.606 0.192
O25 0.510 0.394 0.808
O26 0.510 0.615 0.702
O27 0.587 0.192 0.202
O28 0.587 0.894 0.385
O29 0.606 0.192 0.490
O30 0.606 0.913 0.115
O31 0.615 0.413 0.106
O32 0.615 0.702 0.510
O33 0.692 0.087 0.702
O34 0.692 0.106 0.990
O35 0.702 0.510 0.615
O36 0.702 0.692 0.087
O37 0.798 0.413 0.808
O38 0.798 0.885 0.990
O39 0.808 0.510 0.394
O40 0.808 0.798 0.413
O41 0.885 0.394 0.087
O42 0.885 0.990 0.798
O43 0.894 0.010 0.308
O44 0.894 0.385 0.587
O45 0.913 0.115 0.606
O46 0.913 0.298 0.308
O47 0.990 0.692 0.106
O48 0.990 0.798 0.885

---

No. 2
A relaxed Ca2TaCrO6 crystal. Source: Alexandria via LeMat-Bulk, functional GGA-PBEsol.

Results
Uncorrected formation energy (meV/atom): -2816
Calculated density (Mg/m³): 6.0
E (eV/atom): -8.67

Lattice parameters (Å, degrees): 5.366 7.721 5.502 90.00 90.18 90.00
Element x y z (fractional)
Ca1 0.009 0.250 0.037
Ca2 0.489 0.250 0.563
Ca3 0.511 0.750 0.437
Ca4 0.991 0.750 0.963
Ta1 0.000 0.000 0.500
Ta2 0.000 0.500 0.500
Cr1 0.500 0.000 0.000
Cr2 0.500 0.500 0.000
O1 0.087 0.750 0.525
O2 0.206 0.045 0.790
O3 0.206 0.455 0.790
O4 0.293 0.043 0.294
O5 0.293 0.457 0.294
O6 0.409 0.750 0.028
O7 0.591 0.250 0.972
O8 0.707 0.543 0.706
O9 0.707 0.957 0.706
O10 0.794 0.545 0.210
O11 0.794 0.955 0.210
O12 0.913 0.250 0.475

---

No. 3
A relaxed Ca2TaCrO6 crystal. Source: Alexandria via LeMat-Bulk, functional GGA-PBEsol.

Results
Uncorrected formation energy (meV/atom): -2844
Calculated density (Mg/m³): 6.0
E (eV/atom): -8.70

Lattice parameters (Å, degrees): 5.381 5.494 9.346 90.00 124.90 90.00
Element x y z (fractional)
Ca1 0.238 0.046 0.248
Ca2 0.238 0.454 0.748
Ca3 0.762 0.546 0.252
Ca4 0.762 0.954 0.752
Ta1 0.500 0.000 0.000
Ta2 0.500 0.500 0.500
Cr1 0.000 0.000 0.500
Cr2 0.000 0.500 0.000
O1 0.163 0.209 0.958
O2 0.163 0.291 0.458
O3 0.248 0.708 0.955
O4 0.248 0.792 0.455
O5 0.332 0.023 0.749
O6 0.332 0.477 0.249
O7 0.668 0.523 0.751
O8 0.668 0.977 0.251
O9 0.752 0.208 0.545
O10 0.752 0.292 0.045
O11 0.837 0.709 0.542
O12 0.837 0.791 0.042

---

No. 4
A relaxed Ca2Ta2CrO8 crystal. Source: Alexandria via LeMat-Bulk, functional GGA-PBEsol.

Results
Uncorrected formation energy (meV/atom): -2693
Calculated density (Mg/m³): 6.4
E (eV/atom): -8.97

Lattice parameters (Å, degrees): 5.345 6.527 9.648 105.33 90.89 92.58
Element x y z (fractional)
Ca1 0.246 0.379 0.412
Ca2 0.253 0.954 0.585
Ca3 0.747 0.046 0.415
Ca4 0.754 0.621 0.588
Ta1 0.253 0.780 0.227
Ta2 0.258 0.500 0.769
Ta3 0.742 0.500 0.231
Ta4 0.747 0.220 0.773
Cr1 0.234 0.157 0.010
Cr2 0.766 0.843 0.990
O1 0.016 0.239 0.631
O2 0.072 0.491 0.141
O3 0.094 0.928 0.106
O4 0.170 0.639 0.625
O5 0.338 0.042 0.369
O6 0.403 0.264 0.855
O7 0.470 0.725 0.870
O8 0.481 0.646 0.369
O9 0.519 0.354 0.631
O10 0.530 0.275 0.130
O11 0.597 0.736 0.145
O12 0.662 0.958 0.631
O13 0.830 0.361 0.375
O14 0.906 0.072 0.894
O15 0.928 0.509 0.859
O16 0.984 0.761 0.369

---

No. 5
A relaxed Ca2TiCrO6 crystal. Source: Alexandria via LeMat-Bulk, functional GGA-PBEsol.

Results
Uncorrected formation energy (meV/atom): -2821
Calculated density (Mg/m³): 4.3
E (eV/atom): -8.25
Density of states at the Fermi level (states/eV/cell): 8.96

Lattice parameters (Å, degrees): 5.298 5.361 9.191 90.00 125.11 90.00
Element x y z (fractional)
Ca1 0.242 0.039 0.250
Ca2 0.242 0.461 0.750
Ca3 0.758 0.539 0.250
Ca4 0.758 0.961 0.750
Ti1 0.500 0.000 0.000
Ti2 0.500 0.500 0.500
Cr1 0.000 0.000 0.500
Cr2 0.000 0.500 0.000
O1 0.172 0.216 0.964
O2 0.172 0.284 0.464
O3 0.248 0.710 0.964
O4 0.248 0.790 0.464
O5 0.316 0.014 0.747
O6 0.316 0.486 0.247
O7 0.684 0.514 0.753
O8 0.684 0.986 0.253
O9 0.752 0.210 0.536
O10 0.752 0.290 0.036
O11 0.828 0.716 0.536
O12 0.828 0.784 0.036

---

No. 6
A relaxed Ca3Ti3Cr2O12 crystal. Source: Alexandria via LeMat-Bulk, functional GGA-PBEsol.

Results
Uncorrected formation energy (meV/atom): -2856
Calculated density (Mg/m³): 3.9
E (eV/atom): -8.60

Lattice parameters (Å, degrees): 10.730 10.730 10.730 109.47 109.47 109.47
Element x y z (fractional)
Ca1 0.125 0.250 0.375
Ca2 0.125 0.375 0.750
Ca3 0.250 0.375 0.125
Ca4 0.250 0.875 0.625
Ca5 0.375 0.125 0.250
Ca6 0.375 0.750 0.125
Ca7 0.625 0.250 0.875
Ca8 0.625 0.875 0.750
Ca9 0.750 0.125 0.375
Ca10 0.750 0.625 0.875
Ca11 0.875 0.625 0.250
Ca12 0.875 0.750 0.625
Ti1 0.125 0.750 0.875
Ti2 0.125 0.875 0.250
Ti3 0.250 0.125 0.875
Ti4 0.250 0.625 0.375
Ti5 0.375 0.250 0.625
Ti6 0.375 0.625 0.750
Ti7 0.625 0.375 0.250
Ti8 0.625 0.750 0.375
Ti9 0.750 0.375 0.625
Ti10 0.750 0.875 0.125
Ti11 0.875 0.125 0.750
Ti12 0.875 0.250 0.125
Cr1 0.000 0.000 0.000
Cr2 0.000 0.000 0.500
Cr3 0.000 0.500 0.000
Cr4 0.000 0.500 0.500
Cr5 0.500 0.000 0.000
Cr6 0.500 0.000 0.500
Cr7 0.500 0.500 0.000
Cr8 0.500 0.500 0.500
O1 0.018 0.198 0.117
O2 0.018 0.320 0.902
O3 0.081 0.698 0.680
O4 0.081 0.883 0.402
O5 0.098 0.617 0.419
O6 0.098 0.982 0.680
O7 0.117 0.018 0.198
O8 0.117 0.598 0.919
O9 0.180 0.198 0.581
O10 0.180 0.482 0.598
O11 0.198 0.117 0.018
O12 0.198 0.581 0.180
O13 0.302 0.320 0.919
O14 0.302 0.482 0.383
O15 0.320 0.902 0.018
O16 0.320 0.919 0.302
O17 0.383 0.302 0.482
O18 0.383 0.581 0.902
O19 0.402 0.081 0.883
O20 0.402 0.820 0.518
O21 0.419 0.098 0.617
O22 0.419 0.820 0.802
O23 0.482 0.383 0.302
O24 0.482 0.598 0.180
O25 0.518 0.402 0.820
O26 0.518 0.617 0.698
O27 0.581 0.180 0.198
O28 0.581 0.902 0.383
O29 0.598 0.180 0.482
O30 0.598 0.919 0.117
O31 0.617 0.419 0.098
O32 0.617 0.698 0.518
O33 0.680 0.081 0.698
O34 0.680 0.098 0.982
O35 0.698 0.518 0.617
O36 0.698 0.680 0.081
O37 0.802 0.419 0.820
O38 0.802 0.883 0.982
O39 0.820 0.518 0.402
O40 0.820 0.802 0.419
O41 0.883 0.402 0.081
O42 0.883 0.982 0.802
O43 0.902 0.018 0.320
O44 0.902 0.383 0.581
O45 0.919 0.117 0.598
O46 0.919 0.302 0.320
O47 0.982 0.680 0.098
O48 0.982 0.802 0.883

---

No. 7
A relaxed CaCrOs crystal. Source: Alexandria via LeMat-Bulk, functional GGA-PBEsol.

Results
Calculated density (Mg/m³): 7.5
E (eV/atom): -6.17
Density of states at the Fermi level (states/eV/cell): 7.43
DFT formation energy (eV/atom): 2.03

Lattice parameters (Å, degrees): 4.456 4.456 4.456 60.00 60.00 60.00
Element x y z (fractional)
Ca1 0.000 0.000 0.000
Cr1 0.250 0.250 0.250
Os1 0.750 0.750 0.750

---

No. 8
A relaxed CaCrOs2 crystal. Source: Alexandria via LeMat-Bulk, functional GGA-PBEsol.

Results
Relative energy among the computed polymorphs (meV/atom): 0.0
Calculated density (Mg/m³): 12.5
E (eV/atom): -8.80
Density of states at the Fermi level (states/eV/cell): 4.84
DFT formation energy (eV/atom): 0.40

Lattice parameters (Å, degrees): 2.873 2.873 7.610 90.00 90.00 90.00
Element x y z (fractional)
Ca1 0.000 0.000 0.000
Cr1 0.000 0.000 0.500
Os1 0.500 0.500 0.304
Os2 0.500 0.500 0.696

---

No. 9
A relaxed Ca3CrOs crystal. Source: Alexandria via LeMat-Bulk, functional GGA-PBEsol.

Results
Calculated density (Mg/m³): 3.8
E (eV/atom): -4.89
Density of states at the Fermi level (states/eV/cell): 4.55
DFT formation energy (eV/atom): 0.88

Lattice parameters (Å, degrees): 5.395 5.395 5.395 90.00 90.00 90.00
Element x y z (fractional)
Ca1 0.000 0.000 0.500
Ca2 0.000 0.500 0.000
Ca3 0.500 0.000 0.000
Cr1 0.500 0.500 0.500
Os1 0.000 0.000 0.000

---

No. 10
A relaxed CaCrOs2 crystal. Source: Alexandria via LeMat-Bulk, functional GGA-PBEsol.

Results
Relative energy among the computed polymorphs (meV/atom): 148.4
Calculated density (Mg/m³): 13.0
E (eV/atom): -8.65
Density of states at the Fermi level (states/eV/cell): 3.99
DFT formation energy (eV/atom): 0.55

Lattice parameters (Å, degrees): 9.216 9.216 9.216 17.31 17.31 17.31
Element x y z (fractional)
Ca1 0.000 0.000 0.000
Cr1 0.500 0.500 0.500
Os1 0.239 0.239 0.239
Os2 0.761 0.761 0.761

---

No. 11
A relaxed Ca2CrOs crystal. Source: Alexandria via LeMat-Bulk, functional GGA-PBEsol.

Results
Calculated density (Mg/m³): 6.6
E (eV/atom): -5.88
Density of states at the Fermi level (states/eV/cell): 2.82
DFT formation energy (eV/atom): 0.81

Lattice parameters (Å, degrees): 5.177 5.177 5.177 129.02 129.02 74.98
Element x y z (fractional)
Ca1 0.250 0.750 0.500
Ca2 0.750 0.250 0.500
Cr1 0.000 0.000 0.000
Os1 0.500 0.500 0.000

---

No. 12
A relaxed Ca2CrOsW crystal. Source: Alexandria via LeMat-Bulk, functional GGA-PBEsol.

Results
Calculated density (Mg/m³): 7.4
E (eV/atom): -6.26
Density of states at the Fermi level (states/eV/cell): 5.25
DFT formation energy (eV/atom): 1.85

Lattice parameters (Å, degrees): 5.109 5.109 4.359 90.00 90.00 90.00
Element x y z (fractional)
Ca1 0.000 0.500 0.000
Ca2 0.500 0.000 0.000
Cr1 0.000 0.000 0.000
Os1 0.000 0.000 0.500
W1 0.500 0.500 0.500

---

No. 13
A relaxed CaCr3P crystal. Source: Alexandria via LeMat-Bulk, functional GGA-PBEsol.

Results
Calculated density (Mg/m³): 4.5
E (eV/atom): -7.26
Density of states at the Fermi level (states/eV/cell): 4.96
DFT formation energy (eV/atom): 0.47

Lattice parameters (Å, degrees): 4.390 4.390 4.390 90.00 90.00 90.00
Element x y z (fractional)
Ca1 0.000 0.000 0.000
Cr1 0.000 0.500 0.500
Cr2 0.500 0.000 0.500
Cr3 0.500 0.500 0.000
P1 0.500 0.500 0.500

---

No. 14
A relaxed Ca2CrP crystal. Source: Alexandria via LeMat-Bulk, functional GGA-PBEsol.

Results
Calculated density (Mg/m³): 2.4
E (eV/atom): -5.05
Density of states at the Fermi level (states/eV/cell): 0.47
DFT formation energy (eV/atom): 0.03

Lattice parameters (Å, degrees): 7.972 7.972 7.972 30.18 30.18 30.18
Element x y z (fractional)
Ca1 0.230 0.230 0.230
Ca2 0.770 0.770 0.770
Cr1 0.000 0.000 0.000
P1 0.500 0.500 0.500

---

No. 15
A relaxed CaCrPb crystal. Source: Alexandria via LeMat-Bulk, functional GGA-PBEsol.

Results
Calculated density (Mg/m³): 6.4
E (eV/atom): -4.95
Density of states at the Fermi level (states/eV/cell): 1.43
DFT formation energy (eV/atom): 0.51

Lattice parameters (Å, degrees): 3.520 3.520 7.218 90.00 90.00 120.00
Element x y z (fractional)
Ca1 0.000 0.000 0.000
Cr1 0.667 0.333 0.647
Pb1 0.333 0.667 0.362

---

No. 16
A relaxed Ca4CrPb crystal. Source: Alexandria via LeMat-Bulk, functional GGA-PBEsol.

Results
Calculated density (Mg/m³): 3.6
E (eV/atom): -3.22
Density of states at the Fermi level (states/eV/cell): 6.16
DFT formation energy (eV/atom): 0.57

Lattice parameters (Å, degrees): 6.516 6.516 6.516 60.00 60.00 60.00
Element x y z (fractional)
Ca1 0.125 0.125 0.125
Ca2 0.125 0.125 0.625
Ca3 0.125 0.625 0.125
Ca4 0.625 0.125 0.125
Cr1 0.500 0.500 0.500
Pb1 0.750 0.750 0.750

---

No. 17
A relaxed CaCrPb crystal. Source: Alexandria via LeMat-Bulk, functional GGA-PBEsol.

Results
Calculated density (Mg/m³): 6.7
E (eV/atom): -5.16
Density of states at the Fermi level (states/eV/cell): 2.20
DFT formation energy (eV/atom): 0.30

Lattice parameters (Å, degrees): 6.082 6.082 6.082 144.78 144.78 50.67
Element x y z (fractional)
Ca1 0.000 0.000 0.000
Cr1 0.692 0.692 0.000
Pb1 0.309 0.309 0.000